## BeTe2Rh (GGA-PBE)

Data for an optimized crystal structure of BeTe2Rh.

Summary:
* uncorrected formation energy: 0.393 eV/atom
* DOS(E_F): 0.698 states/eV per atom
* volume: 163.89 Å³/cell

Cell lengths 3.589, 6.009, 7.600 Å; angles 90.00, 90.00, 90.00 degrees
Space group Cmmm (No. 65)
Unique sites:
Be 0.000 0.000 0.000 x2
Te 0.000 0.500 0.236 x4
Rh 0.000 0.000 0.500 x2